{
  "formula": "Ce2CuMoN5",
  "functional": "PBE",
  "state": "relaxed",
  "cell": [[3.2385, 0.0000, 0.0000], [-1.6193, 6.9775, 0.0000], [0.0000, 0.0000, 9.7640]],
  "species": ["Ce", "Ce", "Ce", "Ce", "Cu", "Cu", "Mo", "Mo", "N", "N", "N", "N", "N", "N", "N", "N", "N", "N"],
  "fractional_positions": [[0.8717, 0.7435, 0.8007], [0.1228, 0.2455, 0.7125], [0.1283, 0.2565, 0.3007], [0.8772, 0.7545, 0.2125], [0.5014, 0.0028, 0.9903], [0.4986, 0.9972, 0.4903], [0.7890, 0.5780, 0.5085], [0.2110, 0.4220, 0.0085], [0.3588, 0.7175, 0.0091], [0.7080, 0.4161, 0.8636], [0.4996, 0.9993, 0.7718], [0.2886, 0.5772, 0.6517], [0.9264, 0.8528, 0.5157], [0.6412, 0.2825, 0.5091], [0.2920, 0.5839, 0.3636], [0.5004, 0.0007, 0.2718], [0.7114, 0.4228, 0.1517], [0.0736, 0.1472, 0.0157]],
  "raw_formation_energy_mev_per_atom": -663,
  "spacegroup": "Cmc2_1",
  "crystal_system": "orthorhombic"
}